{
  "formula": "K7HF5",
  "functional": "PBE-GGA",
  "state": "optimized geometry",
  "lattice_angstrom": [[3.8466, 0.0000, 0.0000], [-1.9233, 6.4060, -0.0107], [0.0000, -0.0287, 27.2461]],
  "species": ["F", "F", "F", "F", "F", "F", "F", "F", "F", "F", "K", "K", "K", "K", "K", "K", "K", "K", "K", "K", "K", "K", "K", "K", "H", "H"],
  "frac_coords": [[0.2693, 0.5386, 0.0636], [0.4594, 0.9188, 0.6239], [0.7282, 0.4564, 0.9357], [0.7315, 0.4630, 0.5593], [0.5436, 0.0872, 0.3766], [0.9987, 0.9974, 0.9997], [0.4515, 0.9030, 0.8874], [0.0014, 0.0028, 0.5002], [0.5459, 0.0919, 0.1120], [0.2714, 0.5427, 0.4411], [0.6380, 0.2760, 0.4696], [0.8454, 0.6908, 0.8480], [0.5721, 0.1442, 0.7157], [0.3649, 0.7297, 0.5308], [0.6366, 0.2732, 0.0274], [0.0884, 0.1768, 0.9098], [0.9109, 0.8218, 0.4117], [0.8236, 0.6472, 0.6499], [0.1522, 0.3044, 0.1515], [0.3608, 0.7215, 0.9720], [0.9091, 0.8182, 0.0896], [0.4304, 0.8608, 0.2846], [0.1793, 0.3585, 0.3504], [0.0920, 0.1840, 0.5888], [0.8200, 0.6401, 0.3256], [0.1830, 0.3660, 0.6748]],
  "magmom_total_mub_per_cell": 0.0,
  "dos_ef_per_ev_cell": 2.6,
  "crystal_system": "monoclinic",
  "total_energy_ev_per_atom": -3.652,
  "sg": "No. 8",
  "volume_a3_per_atom": 25.8
}

{
  "formula": "NdCo4Cu",
  "functional": "PBE-GGA",
  "state": "optimized geometry",
  "lattice_angstrom": [[-0.4113, 0.3000, -4.9351], [2.7000, -2.9854, -2.9003], [-2.2022, -3.6539, -2.5324]],
  "species": ["Nd", "Co", "Co", "Co", "Co", "Cu"],
  "frac_coords": [[0.2500, 0.2500, 0.2500], [0.6262, 0.1213, 0.6262], [0.6262, 0.6262, 0.6262], [0.6262, 0.6262, 0.1213], [0.1213, 0.6262, 0.6262], [0.0000, 0.0000, 0.0000]],
  "magmom_total_mub_per_cell": 5.7,
  "dos_ef_per_ev_cell": 6.2,
  "crystal_system": "cubic",
  "total_energy_ev_per_atom": -6.155,
  "sg": "No. 216",
  "e_form_mev_per_atom": 60,
  "volume_a3_per_atom": 14.4
}

{
  "formula": "Pr12AlCd3",
  "functional": "PBE-GGA",
  "state": "optimized geometry",
  "lattice_angstrom": [[-2.7469, 3.0025, -2.9140], [-4.1511, -1.5189, 2.3479], [2.0917, 14.7868, 13.2642]],
  "species": ["Pr", "Pr", "Pr", "Pr", "Pr", "Pr", "Pr", "Pr", "Pr", "Pr", "Pr", "Pr", "Al", "Cd", "Cd", "Cd"],
  "frac_coords": [[0.5000, 0.0000, 0.6259], [0.0000, 0.5000, 0.6259], [0.5000, 0.5000, 0.0000], [0.0000, 0.5000, 0.1206], [0.5000, 0.0000, 0.3741], [0.5000, 0.5000, 0.2480], [0.0000, 0.5000, 0.3741], [0.0000, 0.5000, 0.8794], [0.5000, 0.5000, 0.5000], [0.5000, 0.0000, 0.1206], [0.5000, 0.5000, 0.7520], [0.5000, 0.0000, 0.8794], [0.0000, 0.0000, 0.0000], [0.0000, 0.0000, 0.5000], [0.0000, 0.0000, 0.7513], [0.0000, 0.0000, 0.2487]],
  "magmom_total_mub_per_cell": 0.0,
  "dos_ef_per_ev_cell": 21.3,
  "crystal_system": "tetragonal",
  "total_energy_ev_per_atom": -4.122,
  "sg": "No. 123",
  "e_form_mev_per_atom": -132,
  "volume_a3_per_atom": 31.3
}

{
  "formula": "ZnGa3Ir4",
  "functional": "PBE-GGA",
  "state": "optimized geometry",
  "lattice_angstrom": [[-2.3114, -3.5503, -0.8107], [5.1262, -3.2461, -0.3998], [-0.3986, -1.6706, 8.4532]],
  "species": ["Ir", "Ir", "Ir", "Ir", "Ir", "Ir", "Ir", "Ir", "Ga", "Ga", "Ga", "Ga", "Ga", "Ga", "Zn", "Zn"],
  "frac_coords": [[0.5000, 0.7526, 0.5000], [0.5000, 0.2474, 0.0000], [0.0000, 0.7526, 0.2500], [0.0000, 0.7526, 0.7500], [0.5000, 0.7526, 0.0000], [0.5000, 0.2474, 0.5000], [0.0000, 0.2474, 0.7500], [0.0000, 0.2474, 0.2500], [0.0000, 0.0000, 0.5000], [0.4999, 0.5000, 0.7500], [0.5000, 0.0000, 0.2500], [0.0000, 0.0000, 0.0000], [0.5000, 0.0000, 0.7500], [0.5001, 0.5000, 0.2500], [0.0000, 0.5000, 0.0000], [0.0000, 0.5000, 0.5000]],
  "magmom_total_mub_per_cell": 0.0,
  "dos_ef_per_ev_cell": 1.9,
  "crystal_system": "tetragonal",
  "total_energy_ev_per_atom": -6.113,
  "sg": "No. 123",
  "e_form_mev_per_atom": -389,
  "volume_a3_per_atom": 14.1
}

{
  "formula": "Ca2MnBeAu6",
  "functional": "PBE-GGA",
  "state": "optimized geometry",
  "lattice_angstrom": [[-3.6907, -4.4007, 4.1024], [-0.5378, -3.6847, -5.3208], [2.4792, -5.9149, -0.9993]],
  "species": ["Au", "Au", "Au", "Au", "Au", "Au", "Be", "Ca", "Ca", "Mn"],
  "frac_coords": [[0.7326, 0.2545, 0.0216], [0.2674, 0.7455, 0.9784], [0.7311, 0.7558, 0.5209], [0.6260, 0.7439, 0.1167], [0.2689, 0.2442, 0.4791], [0.3740, 0.2561, 0.8833], [0.5000, 0.5000, 0.0000], [0.8085, 0.2733, 0.4637], [0.1916, 0.7267, 0.5363], [0.0000, 0.0000, 0.0000]],
  "magmom_total_mub_per_cell": 4.0,
  "dos_ef_per_ev_cell": 4.7,
  "crystal_system": "triclinic",
  "total_energy_ev_per_atom": -4.007,
  "sg": "No. 2",
  "e_form_mev_per_atom": -350,
  "volume_a3_per_atom": 21.4
}

{
  "formula": "BaAcTaN3",
  "functional": "PBE-GGA",
  "state": "optimized geometry",
  "lattice_angstrom": [[-3.6515, 1.5541, -1.3014], [-1.3631, -7.1068, 2.0393], [-0.5804, 4.2120, 6.6584]],
  "species": ["N", "N", "N", "N", "N", "N", "Ac", "Ac", "Ta", "Ta", "Ba", "Ba"],
  "frac_coords": [[0.8564, 0.7128, 0.1924], [0.4970, 0.9941, 0.6952], [0.5030, 0.0059, 0.3048], [0.1436, 0.2872, 0.8076], [0.8510, 0.7020, 0.6647], [0.1490, 0.2980, 0.3353], [0.3439, 0.6877, 0.4170], [0.6561, 0.3123, 0.5830], [0.0016, 0.0032, 0.2972], [0.9984, 0.9968, 0.7028], [0.6453, 0.2906, 0.0710], [0.3547, 0.7094, 0.9290]],
  "magmom_total_mub_per_cell": 0.0,
  "crystal_system": "monoclinic",
  "raw_formation_energy_ev_per_atom": -0.93,
  "total_energy_ev_per_atom": -8.073,
  "sg": "No. 12",
  "volume_a3_per_atom": 19.1
}

{
  "formula": "GdPaSnBi",
  "functional": "PBE-GGA",
  "state": "optimized geometry",
  "lattice_angstrom": [[-0.9443, 4.1397, 3.3459], [-3.9913, -0.3166, 3.6323], [1.1620, -0.4565, 5.2598]],
  "species": ["Pa", "Sn", "Gd", "Bi"],
  "frac_coords": [[0.0000, 0.0000, 0.0000], [0.2500, 0.2500, 0.2500], [0.5000, 0.5000, 0.5000], [0.7500, 0.7500, 0.7500]],
  "magmom_total_mub_per_cell": 8.6,
  "dos_ef_per_ev_cell": 7.2,
  "crystal_system": "cubic",
  "total_energy_ev_per_atom": -8.181,
  "sg": "No. 216",
  "e_form_mev_per_atom": -316,
  "volume_a3_per_atom": 27.9
}

{
  "formula": "BaHg2SbPd",
  "functional": "PBE-GGA",
  "state": "optimized geometry",
  "lattice_angstrom": [[5.2838, 0.0000, 0.0000], [0.0000, 5.2838, 0.0000], [0.0000, 0.0000, 5.4250]],
  "species": ["Hg", "Hg", "Pd", "Sb", "Ba"],
  "frac_coords": [[0.5000, 0.0000, 0.0000], [0.0000, 0.5000, 0.0000], [0.0000, 0.0000, 0.0000], [0.0000, 0.0000, 0.5000], [0.5000, 0.5000, 0.5000]],
  "magmom_total_mub_per_cell": 0.0,
  "dos_ef_per_ev_cell": 3.1,
  "crystal_system": "tetragonal",
  "raw_formation_energy_ev_per_atom": -0.42,
  "total_energy_ev_per_atom": -2.786,
  "sg": "No. 123",
  "volume_a3_per_atom": 30.3
}